{
  "formula": "SrIn5Rh2",
  "functional": "GGA-PBE",
  "state": "optimized geometry",
  "cell": [[4.277, 0.000, 0.000], [2.138, 6.827, 0.471], [2.138, 1.717, 6.624]],
  "species": ["Sr", "In", "In", "In", "In", "In", "Rh", "Rh"],
  "frac_coords": [[0.000, 0.000, 0.000], [0.653, 0.548, 0.147], [0.347, 0.853, 0.452], [0.653, 0.147, 0.548], [0.000, 0.500, 0.500], [0.347, 0.452, 0.853], [0.236, 0.264, 0.264], [0.764, 0.736, 0.736]],
  "delta_e_f_ev_per_atom": -0.391,
  "n_ef_per_ev_fu": 3.59,
  "volume_a3_per_fu": 189.9,
  "total_energy_ev_per_atom": -4.150,
  "sg": "Immm, No. 71"
}

---

{
  "formula": "Sr2InRh",
  "functional": "GGA-PBE",
  "state": "optimized geometry",
  "cell": [[4.638, 0.038, 0.057], [2.341, 4.004, 0.057], [2.232, 1.293, 7.901]],
  "species": ["Sr", "Sr", "Rh", "In"],
  "frac_coords": [[0.037, 0.037, 0.886], [0.210, 0.210, 0.363], [0.460, 0.460, 0.628], [0.793, 0.793, 0.624]],
  "delta_e_f_ev_per_atom": -0.346,
  "n_ef_per_ev_fu": 2.89,
  "volume_a3_per_fu": 145.3,
  "total_energy_ev_per_atom": -3.709,
  "sg": "Cm, No. 8"
}

---

{
  "formula": "SrIn9Rh2",
  "functional": "GGA-PBE",
  "state": "optimized geometry",
  "cell": [[4.252, 0.000, 0.000], [0.000, 8.999, 0.000], [0.000, -4.500, 7.793]],
  "species": ["In", "In", "In", "In", "In", "In", "In", "In", "In", "Sr", "Rh", "Rh"],
  "frac_coords": [[0.500, 0.205, 0.410], [0.500, 0.590, 0.795], [0.000, 0.500, 0.500], [0.000, 0.500, 0.000], [0.500, 0.205, 0.795], [0.000, 0.000, 0.500], [0.500, 0.410, 0.205], [0.500, 0.795, 0.205], [0.500, 0.795, 0.590], [0.000, 0.000, 0.000], [0.000, 0.333, 0.667], [0.000, 0.667, 0.333]],
  "delta_e_f_ev_per_atom": -0.289,
  "relative_energy_mev_per_atom": 0.0,
  "n_ef_per_ev_fu": 4.49,
  "volume_a3_per_fu": 298.2,
  "total_energy_ev_per_atom": -3.709,
  "sg": "P6/mmm, No. 191"
}

---

{
  "formula": "Sr2InRh",
  "functional": "GGA-PBE",
  "state": "optimized geometry",
  "cell": [[-0.934, -4.757, 1.890], [4.741, -1.527, -1.502], [1.544, 1.164, 3.692]],
  "species": ["Rh", "In", "Sr", "Sr"],
  "frac_coords": [[0.000, 0.500, 0.500], [0.500, 0.000, 0.500], [0.500, 0.500, 0.000], [0.000, 0.000, 0.000]],
  "delta_e_f_ev_per_atom": -0.157,
  "n_ef_per_ev_fu": 3.02,
  "volume_a3_per_fu": 112.8,
  "total_energy_ev_per_atom": -3.520,
  "sg": "P4/mmm, No. 123"
}

---

{
  "formula": "Sr2InRh",
  "functional": "GGA-PBE",
  "state": "optimized geometry",
  "cell": [[3.670, 0.000, 0.000], [0.000, 3.835, -0.012], [0.000, 3.862, 8.083]],
  "species": ["In", "Rh", "Sr", "Sr"],
  "frac_coords": [[0.500, 0.250, 0.250], [0.500, 0.750, 0.750], [0.000, 0.037, 0.963], [0.000, 0.463, 0.537]],
  "delta_e_f_ev_per_atom": -0.235,
  "n_ef_per_ev_fu": 2.72,
  "volume_a3_per_fu": 113.9,
  "total_energy_ev_per_atom": -3.599,
  "sg": "Pmmm, No. 47"
}

---

{
  "formula": "Sr2InRh",
  "functional": "GGA-PBE",
  "state": "optimized geometry",
  "cell": [[6.630, 0.052, 0.013], [3.282, 5.760, -0.013], [-4.392, -3.868, 3.115]],
  "species": ["In", "Rh", "Sr", "Sr"],
  "frac_coords": [[0.439, 0.439, 0.000], [0.273, 0.773, 0.500], [0.045, 0.045, 0.000], [0.744, 0.244, 0.500]],
  "delta_e_f_ev_per_atom": -0.251,
  "n_ef_per_ev_fu": 3.19,
  "volume_a3_per_fu": 118.3,
  "total_energy_ev_per_atom": -3.614,
  "sg": "Imm2, No. 44"
}

---

{
  "formula": "SrInRh2",
  "functional": "GGA-PBE",
  "state": "optimized geometry",
  "cell": [[3.399, 0.000, 0.000], [0.000, 3.399, 0.000], [0.000, 0.000, 7.485]],
  "species": ["In", "Sr", "Rh", "Rh"],
  "frac_coords": [[0.500, 0.500, 0.814], [0.000, 0.000, 0.469], [0.500, 0.500, 0.185], [0.000, 0.000, 0.033]],
  "delta_e_f_ev_per_atom": -0.034,
  "n_ef_per_ev_fu": 7.03,
  "volume_a3_per_fu": 86.5,
  "total_energy_ev_per_atom": -4.815,
  "sg": "P4mm, No. 99"
}

---

{
  "formula": "SrIn3Rh",
  "functional": "GGA-PBE",
  "state": "optimized geometry",
  "cell": [[-4.237, 1.644, -2.478], [0.341, -4.017, -3.248], [-2.954, -2.822, 3.179]],
  "species": ["Sr", "Rh", "In", "In", "In"],
  "frac_coords": [[0.500, 0.500, 0.500], [0.000, 0.000, 0.000], [0.000, 0.500, 0.000], [0.500, 0.000, 0.000], [0.000, 0.000, 0.500]],
  "delta_e_f_ev_per_atom": -0.331,
  "n_ef_per_ev_fu": 2.97,
  "volume_a3_per_fu": 138.7,
  "total_energy_ev_per_atom": -3.781,
  "sg": "Pm-3m, No. 221"
}

---

{
  "formula": "SrInRh4",
  "functional": "GGA-PBE",
  "state": "optimized geometry",
  "cell": [[0.000, 3.792, 3.792], [3.792, 0.000, 3.792], [3.792, 3.792, 0.000]],
  "species": ["Sr", "Rh", "Rh", "Rh", "Rh", "In"],
  "frac_coords": [[0.750, 0.750, 0.750], [0.877, 0.374, 0.374], [0.374, 0.374, 0.374], [0.374, 0.877, 0.374], [0.374, 0.374, 0.877], [0.000, 0.000, 0.000]],
  "delta_e_f_ev_per_atom": -0.163,
  "n_ef_per_ev_fu": 8.68,
  "volume_a3_per_fu": 109.0,
  "total_energy_ev_per_atom": -5.801,
  "sg": "F-43m, No. 216"
}

---

{
  "formula": "SrIn2Rh2",
  "functional": "GGA-PBE",
  "state": "optimized geometry",
  "cell": [[4.668, 0.000, 0.000], [0.000, 4.668, 0.000], [2.334, 2.334, 5.379]],
  "species": ["In", "In", "Sr", "Rh", "Rh"],
  "frac_coords": [[0.636, 0.636, 0.729], [0.364, 0.364, 0.271], [0.000, 0.000, 0.000], [0.750, 0.250, 0.500], [0.250, 0.750, 0.500]],
  "delta_e_f_ev_per_atom": -0.395,
  "n_ef_per_ev_fu": 0.63,
  "volume_a3_per_fu": 117.2,
  "total_energy_ev_per_atom": -4.767,
  "sg": "I4/mmm, No. 139"
}

---

{
  "formula": "SrInRh2",
  "functional": "GGA-PBE",
  "state": "optimized geometry",
  "cell": [[-2.991, 1.497, 0.509], [-1.528, -2.432, -1.821], [-2.427, -6.208, 3.999]],
  "species": ["Sr", "Rh", "Rh", "In"],
  "frac_coords": [[0.500, 0.250, 0.250], [0.000, 0.457, 0.543], [0.000, 0.043, 0.957], [0.500, 0.750, 0.750]],
  "delta_e_f_ev_per_atom": -0.247,
  "n_ef_per_ev_fu": 1.94,
  "volume_a3_per_fu": 80.5,
  "total_energy_ev_per_atom": -5.027,
  "sg": "P2/m, No. 10"
}

---

{
  "formula": "SrInRh2",
  "functional": "GGA-PBE",
  "state": "optimized geometry",
  "cell": [[-5.667, 5.546, 2.598], [-7.603, 2.660, 2.176], [-5.786, 3.133, 5.131]],
  "species": ["In", "Sr", "Rh", "Rh"],
  "frac_coords": [[0.750, 0.750, 0.750], [0.250, 0.250, 0.250], [0.491, 0.491, 0.491], [0.009, 0.009, 0.009]],
  "delta_e_f_ev_per_atom": 0.052,
  "n_ef_per_ev_fu": 3.37,
  "volume_a3_per_fu": 85.9,
  "total_energy_ev_per_atom": -4.729,
  "sg": "R-3m, No. 166"
}